(w)
Er4In2C: relaxed, PBE.

abc: 3.564 8.805 8.454
angles: 137.77 90.00 90.00
Site moments in Bohr magnetons follow the coordinates.
Fractional positions:
Er  0.500  0.210  0.350  0.14
Er  0.000  0.704  0.922  0.21
Er  0.000  0.439  0.221  0.21
Er  0.500  0.933  0.793  0.14
In  0.500  0.827  0.331  0.00
In  0.500  0.316  0.812  0.00
C  0.000  0.071  0.071  -0.01

## Properties
Crystal system = monoclinic
Symmetry = P2/m (10)



(x)
Er4In2C: relaxed, PBE.

abc: 4.882 4.882 8.308
angles: 72.91 72.91 90.00
Fractional positions:
Er  0.000  0.500  0.000
Er  0.500  0.000  0.000
Er  0.161  0.161  0.678
Er  0.839  0.839  0.322
In  0.632  0.632  0.735
In  0.368  0.368  0.265
C  0.000  0.000  0.000

## Properties
Crystal system = tetragonal
Symmetry = I4/mmm (139)



Winner for stability: (x)



(w)
LaErC: relaxed, PBE.

abc: 6.600 3.618 3.618
angles: 120.00 90.00 90.00
Fractional positions:
C  0.318  0.333  0.667
Er  0.130  0.000  0.000
La  0.552  0.667  0.333

## Properties
Crystal system = trigonal
Symmetry = P3m1 (156)



(x)
LaErC: relaxed, PBE.

abc: 4.176 6.204 6.207
angles: 76.45 86.49 93.41
Fractional positions:
La  0.501  0.262  0.260
La  0.499  0.738  0.740
C  0.388  0.062  0.938
C  0.612  0.938  0.062
Er  0.043  0.782  0.220
Er  0.957  0.218  0.780

## Properties
Crystal system = triclinic
Symmetry = P-1 (2)



(y)
LaErC: relaxed, PBE.

abc: 3.638 5.032 8.240
angles: 90.00 90.00 90.00
Site moments in Bohr magnetons follow the coordinates.
Fractional positions:
La  0.500  0.500  0.171  0.05
La  0.000  0.000  0.829  0.05
Er  0.000  0.000  0.413  0.05
Er  0.500  0.500  0.587  0.05
C  0.000  0.500  0.383  0.00
C  0.500  0.000  0.617  0.00

## Properties
Crystal system = orthorhombic
Symmetry = Pmmn (59)



Winner for stability: (y)